CoSb2PtF: optimized geometry, GGA+U.

```
CoSb2PtF
1.0
4.783 0.000 0.000
0.000 4.463 0.000
0.000 0.000 4.783
Sb F Co Pt
2 1 1 1
direct
0.000 0.000 0.500
0.500 0.000 0.000
0.000 0.000 0.000
0.500 0.500 0.500
0.000 0.500 0.000
```

M_tot in Bohr magnetons per cell: 2.42
E_tot in eV per formula unit: -19.0